Compound: Ba2Li2TmSe4
Source: Alexandria via LeMat-Bulk
Functional: PBE
Structure: optimized geometry

abc: 15.465 4.230 7.615
angles: 90.00 110.31 90.00
Space group C2/m (No. 12)
Asymmetric unit:
Ba1 0.134 0.000 0.058
Li1 0.179 0.500 0.492
Tm1 0.000 0.000 0.500
Se1 0.016 0.500 0.255
Se2 0.201 0.000 0.688

Results
DOS(E_F): 8.35 states/eV/cell

***

Compound: BaLiTmSe3
Source: Alexandria via LeMat-Bulk
Functional: PBE
Structure: optimized geometry

abc: 8.803 4.229 9.298
angles: 90.00 105.83 90.00
Space group P2_1/m (No. 11)
Asymmetric unit:
Ba1 0.199 0.250 0.246
Li1 0.086 0.250 0.592
Tm1 0.327 0.750 0.843
Se1 0.116 0.250 0.869
Se2 0.214 0.750 0.528
Se3 0.453 0.750 0.161

***

Compound: BaLiTm2Se4
Source: Alexandria via LeMat-Bulk
Functional: PBE
Structure: optimized geometry

abc: 4.210 13.769 14.172
angles: 90.00 90.00 90.00
Space group Cmcm (No. 63)
Asymmetric unit:
Ba1 0.000 0.118 0.250
Li1 0.000 0.155 0.750
Tm1 0.000 0.373 0.056
Se1 0.000 0.000 0.000
Se2 0.000 0.264 0.611
Se3 0.000 0.437 0.250

Results
DOS(E_F): 8.40 states/eV/cell

***

Compound: Ba2LiUSe6
Source: Alexandria via LeMat-Bulk
Functional: PBE
Structure: optimized geometry

abc: 7.344 7.699 12.564
angles: 90.00 124.03 90.00
Space group P2_1/c (No. 14)
Asymmetric unit:
Ba1 0.224 0.063 0.246
Li1 0.000 0.000 0.500
U1 0.500 0.000 0.000
Se1 0.176 0.206 0.967
Se2 0.266 0.715 0.972
Se3 0.309 0.001 0.746

Results
DOS(E_F): 17.73 states/eV/cell

***

Compound: BaLiUSe4
Source: Alexandria via LeMat-Bulk
Functional: PBE
Structure: optimized geometry

abc: 7.230 5.849 9.159
angles: 90.00 107.82 90.00
Space group P2_1/m (No. 11)
Asymmetric unit:
Ba1 0.240 0.250 0.440
Li1 0.243 0.750 0.181
U1 0.235 0.250 0.939
Se1 0.049 0.750 0.355
Se2 0.064 0.750 0.911
Se3 0.479 0.511 0.787

Results
DOS(E_F): 10.69 states/eV/cell

***

Compound: Ba2Li3USe6
Source: Alexandria via LeMat-Bulk
Functional: PBE
Structure: optimized geometry

abc: 7.553 14.243 6.767
angles: 90.00 109.13 90.00
Space group C2/m (No. 12)
Asymmetric unit:
Ba1 0.000 0.176 0.000
Li1 0.000 0.000 0.500
Li2 0.000 0.393 0.500
U1 0.000 0.500 0.000
Se1 0.216 0.363 0.264
Se2 0.241 0.500 0.766

***

Compound: BaLi3U4Se12
Source: Alexandria via LeMat-Bulk
Functional: PBE
Structure: optimized geometry

abc: 10.378 10.378 10.378
angles: 90.00 90.00 90.00
Space group Im-3 (No. 204)
Asymmetric unit:
Ba1 0.000 0.000 0.000
Li1 0.000 0.000 0.500
U1 0.250 0.250 0.250
Se1 0.000 0.175 0.303

Results
DOS(E_F): 22.01 states/eV/cell

***

Compound: Ba3Li2USe6
Source: Alexandria via LeMat-Bulk
Functional: PBE
Structure: optimized geometry

abc: 7.6722 7.6722 8.2477
angles: 90.00 90.00 120.00
Space group P-3m1 (No. 164)
Asymmetric unit:
Ba1 0.0000 0.0000 0.0000
Ba2 0.3333 0.6667 0.5983
Li1 0.3333 0.6667 0.1719
U1 0.0000 0.0000 0.5000
Se1 0.1674 0.3348 0.2936

Results
DOS(E_F): 5.15 states/eV/cell

***

So what do the calculations give for M_tot? Going down the list: 0.001 0.000 0.000 0.000 0.316 0.083 0.250 0.167 μB/atom.
So what do the calculations give for formation energy without anion corrections? Going down the list: -1.63 -1.81 -1.77 -1.37 -1.32 -1.46 -1.17 -1.46 eV/atom.
So what do the calculations give for energy? Going down the list: -4.530 -4.933 -5.105 -5.170 -5.473 -4.940 -5.902 -4.946 eV/atom.